First-principles (PBE) data for crystalline CuPRu at its relaxed geometry, as listed in Alexandria.

Structure (POSCAR):
```
CuPRu
1.0
-1.478 1.478 4.459
1.478 -1.478 4.459
1.478 1.478 -4.459
Cu P Ru
1 1 1
Direct
0.000 0.000 0.000
0.332 0.332 0.000
0.701 0.701 0.000
```

Formation energy from the elements ... -0.15 eV per atom
Space-group type ... I4mm
Energy relative to the lowest polymorph listed for this composition ... 0.53 eV/f.u.
Fermi-level density of states ... 0.31 states/eV/cell
Final energy ... -6.413 eV/atom

---

First-principles (PBE) data for crystalline CuPRu at its relaxed geometry, as listed in Alexandria.

Structure (POSCAR):
```
CuPRu
1.0
0.000 2.363 5.928
1.479 0.000 5.928
1.479 2.363 0.000
Cu P Ru
1 1 1
Direct
0.000 0.000 0.000
0.334 0.334 0.666
0.687 0.687 0.313
```

Formation energy from the elements ... 0.27 eV per atom
Space-group type ... Fmm2
Energy relative to the lowest polymorph listed for this composition ... 1.81 eV/f.u.
Fermi-level density of states ... 3.57 states/eV/cell
Final energy ... -5.987 eV/atom

---

Number 1 is which compound?
CuPRu